Y3Sc2Al3O12: relaxed, GGA-PBEsol.

Computed properties:
* formation energy without anion corrections: -3.445 eV/atom

Cell: 12.294 12.294 12.294 Å, 90.00 90.00 90.00°
Space group Ia-3d (No. 230)
Inequivalent atoms, fractional coordinates:
Y1 0.000 0.250 0.125 (multiplicity 24)
Sc1 0.000 0.000 0.000 (multiplicity 16)
Al1 0.000 0.250 0.375 (multiplicity 24)
O1 0.031 0.058 0.657 (multiplicity 96)

***

CaInMo2: relaxed, GGA-PBEsol.

Computed properties:
* energy relative to the elements: 0.47 eV per atom

Cell: 8.444 3.047 6.644 Å, 90.00 96.34 90.00°
Space group Cm (No. 8)
Inequivalent atoms, fractional coordinates:
Ca1 0.000 0.000 0.000 (multiplicity 2)
In1 0.243 0.000 0.681 (multiplicity 2)
Mo1 0.000 0.500 0.443 (multiplicity 2)
Mo2 0.267 0.500 0.305 (multiplicity 2)

***

CaMg2: relaxed, GGA-PBEsol.

Computed properties:
* energy relative to the elements: -0.03 eV per atom

Cell: 7.9303 7.9303 4.7389 Å, 90.00 90.00 120.00°
Space group P-62m (No. 189)
Inequivalent atoms, fractional coordinates:
Ca1 0.0000 0.5785 0.0000 (multiplicity 3)
Mg1 0.0000 0.0000 0.0000 (multiplicity 1)
Mg2 0.0000 0.2379 0.5000 (multiplicity 3)
Mg3 0.3333 0.6667 0.5000 (multiplicity 2)

***

Ge3Rh2S3: relaxed, GGA-PBEsol.

Computed properties:
* formation energy without anion corrections: -0.615 eV/atom

Cell: 11.6484 11.6484 14.3224 Å, 90.00 90.00 120.00°
Space group R-3 (No. 148, hexagonal axes)
Inequivalent atoms, fractional coordinates:
Ge1 0.0166 0.8367 0.3382 (multiplicity 18)
Ge2 0.0555 0.4561 0.6020 (multiplicity 18)
Rh1 0.0000 0.0000 0.2466 (multiplicity 6)
Rh2 0.9997 0.4997 0.2457 (multiplicity 18)
S1 0.0241 0.8367 0.8338 (multiplicity 18)
S2 0.0501 0.4532 0.0961 (multiplicity 18)

***

Cs3AlOs: relaxed, GGA-PBEsol.

Computed properties:
* energy relative to the elements: 1.81 eV per atom

Cell: 6.811 6.811 6.811 Å, 90.00 90.00 90.00°
Space group Pm-3m (No. 221)
Inequivalent atoms, fractional coordinates:
Cs1 0.000 0.000 0.500 (multiplicity 3)
Al1 0.000 0.000 0.000 (multiplicity 1)
Os1 0.500 0.500 0.500 (multiplicity 1)

***

CaNiAg2: relaxed, GGA-PBEsol.

Computed properties:
* energy relative to the elements: 0.06 eV per atom

Cell: 3.343 3.343 6.459 Å, 90.00 90.00 90.00°
Space group P4mm (No. 99)
Inequivalent atoms, fractional coordinates:
Ca1 0.000 0.000 0.000 (multiplicity 1)
Ni1 0.500 0.500 0.272 (multiplicity 1)
Ag1 0.000 0.000 0.459 (multiplicity 1)
Ag2 0.500 0.500 0.689 (multiplicity 1)

***

MgGa: relaxed, GGA-PBEsol.

Computed properties:
* energy relative to the elements: -0.09 eV per atom

Cell: 11.264 3.103 6.799 Å, 90.00 105.31 90.00°
Space group Cm (No. 8)
Inequivalent atoms, fractional coordinates:
Mg1 0.000 0.000 0.000 (multiplicity 2)
Mg2 0.041 0.000 0.559 (multiplicity 2)
Mg3 0.321 0.000 0.644 (multiplicity 2)
Ga1 0.169 0.500 0.307 (multiplicity 2)
Ga2 0.212 0.500 0.916 (multiplicity 2)
Ga3 0.367 0.000 0.240 (multiplicity 2)

***

TeRh2Au: relaxed, GGA-PBEsol.

Computed properties:
* formation energy without anion corrections: 0.189 eV/atom

Cell: 3.902 3.902 8.593 Å, 90.00 90.00 90.00°
Space group I-4m2 (No. 119)
Inequivalent atoms, fractional coordinates:
Te1 0.000 0.000 0.000 (multiplicity 2)
Rh1 0.000 0.000 0.500 (multiplicity 2)
Rh2 0.000 0.500 0.750 (multiplicity 2)
Au1 0.000 0.500 0.250 (multiplicity 2)

***

Taking the records one at a time from the top gives size of the total moment values of 0.0; 0.0; 0.0; 0.0; 3.0; 0.0; 0.0; 0.0 Bohr magnetons per cell.
Taking the records one at a time from the top gives volume values of 11.6; 21.2; 28.7; 17.5; 63.2; 18.0; 19.1; 16.4 Å³/atom.
Taking the records one at a time from the top gives mass density values of 4.50; 6.78; 1.71; 6.16; 3.24; 7.23; 4.09; 13.47 g/cm3.